# 1
Material: CaPm5Sm2
Method: DFT, PBE-GGA
State: optimized geometry

Results
The total energy comes out at -66.292 eV/cell. The value obtained for the formation energy is 0.256 eV/atom. The calculation puts the density of states at the Fermi level at 2.048 states/eV/atom.

a = 10.4041 Å, b = 10.4041 Å, c = 10.4041 Å
α = 145.90°, β = 111.54°, γ = 78.74°
With the nearest neighbours (Å) after each atom.
Fractional positions:
Ca 0.3468 0.0968 0.2500  12 Pm 3.67-3.97
Ca 0.6532 0.9032 0.7500  12 Pm 3.67-3.97
Pm 0.0430 0.1059 0.9371  4 Sm 3.53-3.57, 6 Pm 3.61-3.87, 2 Ca 3.67-3.93
Pm 0.2021 0.4521 0.7500  2 Sm 3.03
Pm 0.2775 0.6958 0.5817  1 Sm 3.29, 3 Pm 3.51-3.61
Pm 0.3312 0.8941 0.4371  4 Sm 3.53-3.57, 6 Pm 3.61-3.87, 2 Ca 3.67-3.93
Pm 0.3859 0.3042 0.0817  1 Sm 3.29, 3 Pm 3.51-3.61
Pm 0.6141 0.6958 0.9183  1 Sm 3.29, 3 Pm 3.51-3.61
Pm 0.6688 0.1059 0.5629  4 Sm 3.53-3.57, 6 Pm 3.61-3.87, 2 Ca 3.67-3.93
Pm 0.7225 0.3042 0.4183  1 Sm 3.29, 3 Pm 3.51-3.61
Pm 0.7979 0.5479 0.2500  2 Sm 3.03
Pm 0.9570 0.8941 0.0629  4 Sm 3.53-3.57, 6 Pm 3.61-3.87, 2 Ca 3.67-3.93
Sm 0.0000 0.0000 0.5000  2 Sm 3.05
Sm 0.0000 0.5000 0.0000  2 Sm 3.05
Sm 0.0000 0.5000 0.5000  4 Pm 3.03-3.29
Sm 0.5000 0.5000 0.0000  4 Pm 3.03-3.29

# 2
Material: CaPm5Sm6
Method: DFT, PBE-GGA
State: optimized geometry

Results
The total energy comes out at -53.666 eV/cell. The value obtained for the formation energy is 0.034 eV/atom. The calculation puts the density of states at the Fermi level at 1.486 states/eV/atom.

a = 8.1773 Å, b = 8.1773 Å, c = 6.3301 Å
α = 97.42°, β = 97.42°, γ = 84.31°
With the nearest neighbours (Å) after each atom.
Fractional positions:
Ca 0.0000 0.0000 0.0000  6 Pm 3.68-3.71, 6 Sm 3.70-3.71
Pm 0.1704 0.8296 0.5000  6 Sm 3.58-3.68, 4 Pm 3.62-3.74, 2 Ca 3.68
Pm 0.3380 0.6620 0.0000  5 Pm 3.56-3.66, 6 Sm 3.62-3.71, 1 Ca 3.71
Pm 0.5000 0.5000 0.5000  6 Sm 3.61-3.63, 6 Pm 3.62-3.63
Pm 0.6620 0.3380 0.0000  5 Pm 3.56-3.66, 6 Sm 3.62-3.71, 1 Ca 3.71
Pm 0.8296 0.1704 0.5000  6 Sm 3.58-3.68, 4 Pm 3.62-3.74, 2 Ca 3.68
Sm 0.0841 0.4233 0.2532  5 Pm 3.58-3.71, 6 Sm 3.60-3.72, 1 Ca 3.71
Sm 0.2521 0.2521 0.7434  5 Pm 3.61-3.68, 6 Sm 3.62-3.72, 1 Ca 3.70
Sm 0.4233 0.0841 0.2532  5 Pm 3.58-3.71, 6 Sm 3.60-3.72, 1 Ca 3.71
Sm 0.5767 0.9159 0.7468  5 Pm 3.58-3.71, 6 Sm 3.60-3.72, 1 Ca 3.71
Sm 0.7479 0.7479 0.2566  5 Pm 3.61-3.68, 6 Sm 3.62-3.72, 1 Ca 3.70
Sm 0.9159 0.5767 0.7468  5 Pm 3.58-3.71, 6 Sm 3.60-3.72, 1 Ca 3.71

# 3
Material: Ca2Pm5Sm6
Method: DFT, PBE-GGA
State: optimized geometry

Results
The total energy comes out at -108.822 eV/cell. The value obtained for the formation energy is 0.128 eV/atom. The calculation puts the density of states at the Fermi level at 1.571 states/eV/atom.

a = 12.1951 Å, b = 20.8080 Å, c = 3.6132 Å
α = 90.00°, β = 90.00°, γ = 90.00°
With the nearest neighbours (Å) after each atom.
Fractional positions:
Ca 0.1627 0.2156 0.0000  2 Ca 3.61, 4 Sm 3.63-3.90, 6 Pm 3.66-3.91
Ca 0.3373 0.7156 0.0000  2 Ca 3.61, 4 Sm 3.63-3.90, 6 Pm 3.66-3.91
Ca 0.6627 0.2844 0.0000  2 Ca 3.61, 4 Sm 3.63-3.90, 6 Pm 3.66-3.91
Ca 0.8373 0.7844 0.0000  2 Ca 3.61, 4 Sm 3.63-3.90, 6 Pm 3.66-3.91
Pm 0.0000 0.5000 0.5000  6 Sm 3.38-3.51, 4 Pm 3.61-3.72
Pm 0.0978 0.7814 0.5000  5 Sm 3.34-3.51, 2 Pm 3.61, 4 Ca 3.66-3.70
Pm 0.2071 0.0507 0.5000  3 Pm 3.61-3.72, 7 Sm 3.69-3.79, 2 Ca 3.91
Pm 0.2929 0.5507 0.5000  3 Pm 3.61-3.72, 7 Sm 3.69-3.79, 2 Ca 3.91
Pm 0.4022 0.2814 0.5000  5 Sm 3.34-3.51, 2 Pm 3.61, 4 Ca 3.66-3.70
Pm 0.5000 0.0000 0.5000  6 Sm 3.38-3.51, 4 Pm 3.61-3.72
Pm 0.5978 0.7186 0.5000  5 Sm 3.34-3.51, 2 Pm 3.61, 4 Ca 3.66-3.70
Pm 0.7071 0.4493 0.5000  3 Pm 3.61-3.72, 7 Sm 3.69-3.79, 2 Ca 3.91
Pm 0.7929 0.9493 0.5000  3 Pm 3.61-3.72, 7 Sm 3.69-3.79, 2 Ca 3.91
Pm 0.9022 0.2186 0.5000  5 Sm 3.34-3.51, 2 Pm 3.61, 4 Ca 3.66-3.70
Sm 0.0526 0.9233 0.0000  5 Sm 3.44-3.78, 6 Pm 3.51-3.72
Sm 0.0709 0.6383 0.0000  6 Pm 3.50-3.73, 4 Sm 3.61-3.63, 1 Ca 3.63
Sm 0.1856 0.3796 0.5000  2 Pm 3.34-3.38, 4 Sm 3.61-3.63
Sm 0.3144 0.8796 0.5000  2 Pm 3.34-3.38, 4 Sm 3.61-3.63
Sm 0.4291 0.1383 0.0000  6 Pm 3.50-3.73, 4 Sm 3.61-3.63, 1 Ca 3.63
Sm 0.4474 0.4233 0.0000  5 Sm 3.44-3.78, 6 Pm 3.51-3.72
Sm 0.5526 0.5767 0.0000  5 Sm 3.44-3.78, 6 Pm 3.51-3.72
Sm 0.5709 0.8617 0.0000  6 Pm 3.50-3.73, 4 Sm 3.61-3.63, 1 Ca 3.63
Sm 0.6856 0.1204 0.5000  2 Pm 3.34-3.38, 4 Sm 3.61-3.63
Sm 0.8144 0.6204 0.5000  2 Pm 3.34-3.38, 4 Sm 3.61-3.63
Sm 0.9291 0.3617 0.0000  6 Pm 3.50-3.73, 4 Sm 3.61-3.63, 1 Ca 3.63
Sm 0.9474 0.0767 0.0000  5 Sm 3.44-3.78, 6 Pm 3.51-3.72

# 4
Material: Ca3Pm12Sm5
Method: DFT, PBE-GGA
State: optimized geometry

Results
The total energy comes out at -268.109 eV/cell. The value obtained for the formation energy is 0.979 eV/atom. The calculation puts the density of states at the Fermi level at 1.315 states/eV/atom.

a = 16.6590 Å, b = 16.6590 Å, c = 16.6590 Å
α = 109.47°, β = 109.47°, γ = 109.47°
With the nearest neighbours (Å) after each atom.
Fractional positions:
Ca 0.1250 0.2500 0.3750  4 Pm 3.74
Ca 0.1250 0.3750 0.7500  4 Pm 3.74
Ca 0.2500 0.3750 0.1250  4 Pm 3.74
Ca 0.2500 0.8750 0.6250  4 Pm 3.74
Ca 0.3750 0.1250 0.2500  4 Pm 3.74
Ca 0.3750 0.7500 0.1250  4 Pm 3.74
Ca 0.6250 0.2500 0.8750  4 Pm 3.74
Ca 0.6250 0.8750 0.7500  4 Pm 3.74
Ca 0.7500 0.1250 0.3750  4 Pm 3.74
Ca 0.7500 0.6250 0.8750  4 Pm 3.74
Ca 0.8750 0.6250 0.2500  4 Pm 3.74
Ca 0.8750 0.7500 0.6250  4 Pm 3.74
Pm 0.0014 0.1856 0.0528  2 Sm 2.91-3.06, 1 Pm 3.20
Pm 0.0014 0.3158 0.9486  2 Sm 2.91-3.06, 1 Pm 3.20
Pm 0.0514 0.5528 0.3672  2 Sm 2.91-3.06, 1 Pm 3.20
Pm 0.0514 0.9986 0.6842  2 Sm 2.91-3.06, 1 Pm 3.20
Pm 0.0528 0.0014 0.1856  2 Sm 2.91-3.06, 1 Pm 3.20
Pm 0.0528 0.5514 0.8672  2 Sm 2.91-3.06, 1 Pm 3.20
Pm 0.1328 0.6856 0.6842  2 Sm 2.91-3.06, 1 Pm 3.20
Pm 0.1328 0.9472 0.4486  2 Sm 2.91-3.06, 1 Pm 3.20
Pm 0.1842 0.1856 0.6328  2 Sm 2.91-3.06, 1 Pm 3.20
Pm 0.1842 0.4986 0.5514  2 Sm 2.91-3.06, 1 Pm 3.20
Pm 0.1856 0.0528 0.0014  2 Sm 2.91-3.06, 1 Pm 3.20
Pm 0.1856 0.6328 0.1842  2 Sm 2.91-3.06, 1 Pm 3.20
Pm 0.3144 0.3158 0.8672  2 Sm 2.91-3.06, 1 Pm 3.20
Pm 0.3144 0.4986 0.4472  2 Sm 2.91-3.06, 1 Pm 3.20
Pm 0.3158 0.8672 0.3144  2 Sm 2.91-3.06, 1 Pm 3.20
Pm 0.3158 0.9486 0.0014  2 Sm 2.91-3.06, 1 Pm 3.20
Pm 0.3672 0.0514 0.5528  2 Sm 2.91-3.06, 1 Pm 3.20
Pm 0.3672 0.8158 0.8144  2 Sm 2.91-3.06, 1 Pm 3.20
Pm 0.4472 0.3144 0.4986  2 Sm 2.91-3.06, 1 Pm 3.20
Pm 0.4472 0.6328 0.9486  2 Sm 2.91-3.06, 1 Pm 3.20
Pm 0.4486 0.1328 0.9472  2 Sm 2.91-3.06, 1 Pm 3.20
Pm 0.4486 0.8158 0.5014  2 Sm 2.91-3.06, 1 Pm 3.20
Pm 0.4986 0.4472 0.3144  2 Sm 2.91-3.06, 1 Pm 3.20
Pm 0.4986 0.5514 0.1842  2 Sm 2.91-3.06, 1 Pm 3.20
Pm 0.5014 0.4486 0.8158  2 Sm 2.91-3.06, 1 Pm 3.20
Pm 0.5014 0.5528 0.6856  2 Sm 2.91-3.06, 1 Pm 3.20
Pm 0.5514 0.1842 0.4986  2 Sm 2.91-3.06, 1 Pm 3.20
Pm 0.5514 0.8672 0.0528  2 Sm 2.91-3.06, 1 Pm 3.20
Pm 0.5528 0.3672 0.0514  2 Sm 2.91-3.06, 1 Pm 3.20
Pm 0.5528 0.6856 0.5014  2 Sm 2.91-3.06, 1 Pm 3.20
Pm 0.6328 0.1842 0.1856  2 Sm 2.91-3.06, 1 Pm 3.20
Pm 0.6328 0.9486 0.4472  2 Sm 2.91-3.06, 1 Pm 3.20
Pm 0.6842 0.0514 0.9986  2 Sm 2.91-3.06, 1 Pm 3.20
Pm 0.6842 0.1328 0.6856  2 Sm 2.91-3.06, 1 Pm 3.20
Pm 0.6856 0.5014 0.5528  2 Sm 2.91-3.06, 1 Pm 3.20
Pm 0.6856 0.6842 0.1328  2 Sm 2.91-3.06, 1 Pm 3.20
Pm 0.8144 0.3672 0.8158  2 Sm 2.91-3.06, 1 Pm 3.20
Pm 0.8144 0.9472 0.9986  2 Sm 2.91-3.06, 1 Pm 3.20
Pm 0.8158 0.5014 0.4486  2 Sm 2.91-3.06, 1 Pm 3.20
Pm 0.8158 0.8144 0.3672  2 Sm 2.91-3.06, 1 Pm 3.20
Pm 0.8672 0.0528 0.5514  2 Sm 2.91-3.06, 1 Pm 3.20
Pm 0.8672 0.3144 0.3158  2 Sm 2.91-3.06, 1 Pm 3.20
Pm 0.9472 0.4486 0.1328  2 Sm 2.91-3.06, 1 Pm 3.20
Pm 0.9472 0.9986 0.8144  2 Sm 2.91-3.06, 1 Pm 3.20
Pm 0.9486 0.0014 0.3158  2 Sm 2.91-3.06, 1 Pm 3.20
Pm 0.9486 0.4472 0.6328  2 Sm 2.91-3.06, 1 Pm 3.20
Pm 0.9986 0.6842 0.0514  2 Sm 2.91-3.06, 1 Pm 3.20
Pm 0.9986 0.8144 0.9472  2 Sm 2.91-3.06, 1 Pm 3.20
Sm 0.0000 0.0000 0.0000  6 Pm 2.91
Sm 0.0000 0.0000 0.5000  6 Pm 2.91
Sm 0.0000 0.5000 0.0000  6 Pm 2.91
Sm 0.0000 0.5000 0.5000  6 Pm 2.91
Sm 0.1250 0.7500 0.8750  4 Pm 3.06
Sm 0.1250 0.8750 0.2500  4 Pm 3.06
Sm 0.2500 0.1250 0.8750  4 Pm 3.06
Sm 0.2500 0.6250 0.3750  4 Pm 3.06
Sm 0.3750 0.2500 0.6250  4 Pm 3.06
Sm 0.3750 0.6250 0.7500  4 Pm 3.06
Sm 0.5000 0.0000 0.0000  6 Pm 2.91
Sm 0.5000 0.0000 0.5000  6 Pm 2.91
Sm 0.5000 0.5000 0.0000  6 Pm 2.91
Sm 0.5000 0.5000 0.5000  6 Pm 2.91
Sm 0.6250 0.3750 0.2500  4 Pm 3.06
Sm 0.6250 0.7500 0.3750  4 Pm 3.06
Sm 0.7500 0.3750 0.6250  4 Pm 3.06
Sm 0.7500 0.8750 0.1250  4 Pm 3.06
Sm 0.8750 0.1250 0.7500  4 Pm 3.06
Sm 0.8750 0.2500 0.1250  4 Pm 3.06

# 5
Material: CaPm6Sm12
Method: DFT, PBE-GGA
State: optimized geometry

Results
The total energy comes out at -83.556 eV/cell. The value obtained for the formation energy is 0.188 eV/atom. The calculation puts the density of states at the Fermi level at 1.567 states/eV/atom.

a = 8.9048 Å, b = 8.9048 Å, c = 8.9048 Å
α = 98.74°, β = 98.74°, γ = 98.74°
With the nearest neighbours (Å) after each atom.
Fractional positions:
Ca 0.0000 0.0000 0.0000  6 Pm 3.51
Pm 0.0976 0.0976 0.6559  1 Pm 3.15, 1 Ca 3.51
Pm 0.0976 0.6559 0.0976  1 Pm 3.15, 1 Ca 3.51
Pm 0.3441 0.9024 0.9024  1 Pm 3.15, 1 Ca 3.51
Pm 0.6559 0.0976 0.0976  1 Pm 3.15, 1 Ca 3.51
Pm 0.9024 0.3441 0.9024  1 Pm 3.15, 1 Ca 3.51
Pm 0.9024 0.9024 0.3441  1 Pm 3.15, 1 Ca 3.51
Sm 0.0843 0.3581 0.3582  6 Sm 3.41-3.70, 2 Pm 3.78
Sm 0.2394 0.5000 0.7606  6 Sm 3.41-3.60, 4 Pm 3.54-3.60
Sm 0.2394 0.7606 0.5000  6 Sm 3.41-3.60, 4 Pm 3.54-3.60
Sm 0.3582 0.0843 0.3582  6 Sm 3.41-3.70, 2 Pm 3.78
Sm 0.3582 0.3582 0.0843  6 Sm 3.41-3.70, 2 Pm 3.78
Sm 0.5000 0.2394 0.7606  6 Sm 3.41-3.60, 4 Pm 3.54-3.60
Sm 0.5000 0.7606 0.2394  6 Sm 3.41-3.60, 4 Pm 3.54-3.60
Sm 0.6418 0.6418 0.9157  6 Sm 3.41-3.70, 2 Pm 3.78
Sm 0.6418 0.9157 0.6418  6 Sm 3.41-3.70, 2 Pm 3.78
Sm 0.7606 0.2394 0.5000  6 Sm 3.41-3.60, 4 Pm 3.54-3.60
Sm 0.7606 0.5000 0.2394  6 Sm 3.41-3.60, 4 Pm 3.54-3.60
Sm 0.9157 0.6418 0.6418  6 Sm 3.41-3.70, 2 Pm 3.78

# 6
Material: CaPm2Sm8
Method: DFT, PBE-GGA
State: optimized geometry

Results
The total energy comes out at -47.571 eV/cell. The value obtained for the formation energy is 0.153 eV/atom. The calculation puts the density of states at the Fermi level at 1.737 states/eV/atom.

a = 9.4919 Å, b = 9.4919 Å, c = 9.4919 Å
α = 145.30°, β = 126.51°, γ = 65.35°
With the nearest neighbours (Å) after each atom.
Fractional positions:
Ca 0.0000 0.0000 0.0000  8 Sm 3.41-3.80
Pm 0.2970 0.2970 0.0000  10 Sm 3.45-3.64
Pm 0.7030 0.7030 0.0000  10 Sm 3.45-3.64
Sm 0.1561 0.8578 0.2983  1 Ca 3.41, 6 Sm 3.45-3.82, 3 Pm 3.45-3.55
Sm 0.1587 0.6587 0.5000  2 Pm 3.59, 8 Sm 3.62-3.82, 2 Ca 3.80
Sm 0.3071 0.5000 0.8071  7 Sm 3.30-3.65, 2 Pm 3.64
Sm 0.4404 0.1422 0.2983  1 Ca 3.41, 6 Sm 3.45-3.82, 3 Pm 3.45-3.55
Sm 0.5596 0.8578 0.7017  1 Ca 3.41, 6 Sm 3.45-3.82, 3 Pm 3.45-3.55
Sm 0.6929 0.5000 0.1929  7 Sm 3.30-3.65, 2 Pm 3.64
Sm 0.8413 0.3413 0.5000  2 Pm 3.59, 8 Sm 3.62-3.82, 2 Ca 3.80
Sm 0.8439 0.1422 0.7017  1 Ca 3.41, 6 Sm 3.45-3.82, 3 Pm 3.45-3.55